No. 1
# VP2H4O9 meta-GGA SCAN PBEsol geometry
data_VP2H4O9
_cell_length_a 9.0100
_cell_length_b 9.0100
_cell_length_c 7.6098
_cell_angle_alpha 90.00
_cell_angle_beta 90.00
_cell_angle_gamma 90.00
_symmetry_space_group_name_H-M 'P 4/n c c'
_symmetry_Int_Tables_number 130
loop_
_symmetry_equiv_pos_as_xyz
'x,y,z'
'-x,-y,-z'
'-y+1/2,x,z'
'y+1/2,-x,-z'
'-x+1/2,-y+1/2,z'
'x+1/2,y+1/2,-z'
'y,-x+1/2,z'
'-y,x+1/2,-z'
'x+1/2,-y,-z+1/2'
'-x+1/2,y,z+1/2'
'-y,-x,-z+1/2'
'y,x,z+1/2'
'-x,y+1/2,-z+1/2'
'x,-y+1/2,z+1/2'
'y+1/2,x+1/2,-z+1/2'
'-y+1/2,-x+1/2,z+1/2'
loop_
_atom_site_label
_atom_site_fract_x
_atom_site_fract_y
_atom_site_fract_z
V1 0.2500 0.2500 0.2070
P1 0.0463 0.5463 0.2500
H1 0.0875 0.7169 0.0381
O1 0.0789 0.1180 0.7457
O2 0.1176 0.6225 0.4183
O3 0.2500 0.2500 0.4932
# **Crystal system**: tetragonal

***

No. 2
# P4H3W2O16 meta-GGA SCAN PBEsol geometry
data_P4H3W2O16
_cell_length_a 4.9801
_cell_length_b 7.2029
_cell_length_c 8.1839
_cell_angle_alpha 89.98
_cell_angle_beta 88.21
_cell_angle_gamma 74.85
_symmetry_space_group_name_H-M 'P -1'
_symmetry_Int_Tables_number 2
_symmetry_space_group_name_Hall '-P 1'
loop_
_atom_site_label
_atom_site_fract_x
_atom_site_fract_y
_atom_site_fract_z
P1 0.1116 0.2296 0.1505
P2 0.3687 0.2709 0.6568
H1 0.1384 0.5759 0.6010
H2 0.5000 0.0000 0.0000
W1 0.0000 0.0000 0.5000
W2 0.5000 0.5000 0.0000
O1 0.0238 0.2060 0.3335
O2 0.1674 0.6935 0.9391
O3 0.1719 0.1379 0.6623
O4 0.2563 0.4513 0.5517
O5 0.2633 0.3928 0.1544
O6 0.2846 0.0431 0.0784
O7 0.3615 0.8395 0.4331
O8 0.4174 0.3271 0.8308
# **Crystal system**: triclinic
# **D(E_F)**: 3.44 states/eV per cell

***

No. 3
# ZnPH3O5 meta-GGA SCAN PBEsol geometry
data_ZnPH3O5
_cell_length_a 6.4000
_cell_length_b 7.6377
_cell_length_c 12.3293
_cell_angle_alpha 73.02
_cell_angle_beta 81.19
_cell_angle_gamma 81.42
_symmetry_space_group_name_H-M 'P -1'
_symmetry_Int_Tables_number 2
_symmetry_space_group_name_Hall '-P 1'
loop_
_atom_site_label
_atom_site_fract_x
_atom_site_fract_y
_atom_site_fract_z
Zn1 0.0048 0.0621 0.3023
Zn2 0.1405 0.6738 0.9467
Zn3 0.3472 0.8861 0.0905
P1 0.1477 0.1394 0.8657
P2 0.3213 0.6788 0.3656
P3 0.3472 0.2878 0.1147
H1 0.0173 0.7911 0.5227
H2 0.1692 0.3011 0.3829
H3 0.1766 0.5225 0.7777
H4 0.2507 0.0375 0.5107
H5 0.2984 0.3024 0.6959
H6 0.3508 0.6636 0.7620
H7 0.3544 0.5050 0.2144
H8 0.3615 0.4050 0.5024
H9 0.3676 0.0664 0.6059
O1 0.0641 0.8116 0.0660
O2 0.0891 0.1918 0.4094
O3 0.1378 0.9760 0.8197
O4 0.1391 0.8144 0.3983
O5 0.1623 0.4075 0.0518
O6 0.1780 0.3184 0.7623
O7 0.1953 0.6491 0.7828
O8 0.2761 0.4760 0.4343
O9 0.2813 0.0933 0.1774
O10 0.2881 0.9767 0.5896
O11 0.3323 0.1013 0.9387
O12 0.3396 0.6828 0.2390
O13 0.3837 0.3653 0.2165
O14 0.4436 0.7130 0.9647
O15 0.4627 0.2876 0.6046
# **Crystal system**: triclinic
# **D(E_F)**: 0.00 states/eV per cell

***

no.,raw total energy (eV per cell)
1,-558.873
2,-341.650
3,-495.103